No. 1
{"formula": "Li2Ag2Bi", "functional": "PBEsol", "state": "optimized geometry", "e_tot_ev_per_cell": -31.705, "e_form_kj_per_mol_fu": -98, "vol_a3_per_cell": 186, "cell": [[7.5854, 0.0000, 0.0000], [0.0000, 7.5854, 0.0000], [0.0000, 0.0000, 3.2286]], "species": ["Li", "Li", "Li", "Li", "Ag", "Ag", "Ag", "Ag", "Bi", "Bi"], "fractional_positions": [[0.1664, 0.3336, 0.0000], [0.3336, 0.8336, 0.0000], [0.6664, 0.1664, 0.0000], [0.8336, 0.6664, 0.0000], [0.1272, 0.6272, 0.5000], [0.3728, 0.1272, 0.5000], [0.6272, 0.8728, 0.5000], [0.8728, 0.3728, 0.5000], [0.0000, 0.0000, 0.5000], [0.5000, 0.5000, 0.5000]]}

=====

No. 2
{"formula": "Mg2AgBi", "functional": "PBEsol", "state": "optimized geometry", "e_tot_ev_per_cell": -21.583, "e_form_kj_per_mol_fu": 23, "vol_a3_per_cell": 192, "cell": [[-2.2053, 2.2053, 9.8737], [2.2053, -2.2053, 9.8737], [2.2053, 2.2053, -9.8737]], "species": ["Mg", "Mg", "Mg", "Mg", "Ag", "Ag", "Bi", "Bi"], "fractional_positions": [[0.0998, 0.6250, 0.9748], [0.3750, 0.3498, 0.4748], [0.6502, 0.1250, 0.0252], [0.8750, 0.9002, 0.5252], [0.0000, 0.0000, 0.0000], [0.7500, 0.2500, 0.5000], [0.2500, 0.7500, 0.5000], [0.5000, 0.5000, 0.0000]]}